(1)
Computed, not measured: an optimized crystal structure of Tl4In5 at the GGA-PBE level of DFT.

Electronic total energy ... -22.94 eV for the cell shown
E_form ... 0.024 eV per atom

```
data_Tl4In5
_chemical_formula_sum 'Tl4 In5'
_space_group_name_H-M_alt 'P 1'
_space_group_IT_number 1
_space_group_name_Hall 'P 1'
_cell_length_a 7.473
_cell_length_b 7.473
_cell_length_c 7.473
_cell_angle_alpha 97.24
_cell_angle_beta 97.24
_cell_angle_gamma 138.41
loop_
_atom_site_label
_atom_site_fract_x
_atom_site_fract_y
_atom_site_fract_z
_atom_site_occupancy
Tl1 0.000 0.327 0.327 1
Tl2 0.000 0.673 0.673 1
Tl3 0.327 0.000 0.327 1
Tl4 0.673 0.000 0.673 1
In1 0.000 0.000 0.000 1
In2 0.338 0.338 0.675 1
In3 0.338 0.662 0.000 1
In4 0.662 0.338 0.000 1
In5 0.662 0.662 0.325 1
```


(2)
Computed, not measured: an optimized crystal structure of TlIn2 at the GGA-PBE level of DFT.

Electronic total energy ... -31.02 eV for the cell shown
E_form ... 0.030 eV per atom

```
data_TlIn2
_chemical_formula_sum 'Tl4 In8'
_space_group_name_H-M_alt 'P 1'
_space_group_IT_number 1
_space_group_name_Hall 'P 1'
_cell_length_a 6.566
_cell_length_b 5.266
_cell_length_c 9.848
_cell_angle_alpha 90.00
_cell_angle_beta 90.00
_cell_angle_gamma 90.00
loop_
_atom_site_label
_atom_site_fract_x
_atom_site_fract_y
_atom_site_fract_z
_atom_site_occupancy
Tl1 0.127 0.250 0.083 1
Tl2 0.373 0.750 0.583 1
Tl3 0.627 0.250 0.417 1
Tl4 0.873 0.750 0.917 1
In1 0.114 0.250 0.743 1
In2 0.126 0.250 0.416 1
In3 0.374 0.750 0.916 1
In4 0.386 0.750 0.243 1
In5 0.614 0.250 0.757 1
In6 0.626 0.250 0.084 1
In7 0.874 0.750 0.584 1
In8 0.886 0.750 0.257 1
```


(3)
Computed, not measured: an optimized crystal structure of Tl2In at the GGA-PBE level of DFT.

Electronic total energy ... -14.90 eV for the cell shown
E_form ... 0.006 eV per atom

```
data_Tl2In
_chemical_formula_sum 'Tl4 In2'
_space_group_name_H-M_alt 'P 1'
_space_group_IT_number 1
_space_group_name_Hall 'P 1'
_cell_length_a 3.336
_cell_length_b 5.480
_cell_length_c 9.820
_cell_angle_alpha 90.00
_cell_angle_beta 95.58
_cell_angle_gamma 90.00
loop_
_atom_site_label
_atom_site_fract_x
_atom_site_fract_y
_atom_site_fract_z
_atom_site_occupancy
Tl1 0.065 0.250 0.232 1
Tl2 0.308 0.250 0.583 1
Tl3 0.692 0.750 0.417 1
Tl4 0.935 0.750 0.768 1
In1 0.489 0.250 0.916 1
In2 0.511 0.750 0.084 1
```


(4)
Computed, not measured: an optimized crystal structure of TlIn2 at the GGA-PBE level of DFT.

Electronic total energy ... -15.55 eV for the cell shown
E_form ... 0.023 eV per atom

```
data_TlIn2
_chemical_formula_sum 'Tl2 In4'
_space_group_name_H-M_alt 'P 1'
_space_group_IT_number 1
_space_group_name_Hall 'P 1'
_cell_length_a 6.252
_cell_length_b 6.252
_cell_length_c 5.586
_cell_angle_alpha 90.00
_cell_angle_beta 90.00
_cell_angle_gamma 51.95
loop_
_atom_site_label
_atom_site_fract_x
_atom_site_fract_y
_atom_site_fract_z
_atom_site_occupancy
Tl1 0.215 0.785 0.750 1
Tl2 0.785 0.215 0.250 1
In1 0.118 0.537 0.250 1
In2 0.463 0.882 0.250 1
In3 0.537 0.118 0.750 1
In4 0.882 0.463 0.750 1
```


(5)
Computed, not measured: an optimized crystal structure of Tl13In2 at the GGA-PBE level of DFT.

Electronic total energy ... -34.35 eV for the cell shown
E_form ... 0.126 eV per atom

```
data_Tl13In2
_chemical_formula_sum 'Tl13 In2'
_space_group_name_H-M_alt 'P 1'
_space_group_IT_number 1
_space_group_name_Hall 'P 1'
_cell_length_a 9.555
_cell_length_b 9.555
_cell_length_c 9.555
_cell_angle_alpha 54.26
_cell_angle_beta 54.26
_cell_angle_gamma 54.26
loop_
_atom_site_label
_atom_site_fract_x
_atom_site_fract_y
_atom_site_fract_z
_atom_site_occupancy
Tl1 0.000 0.000 0.000 1
Tl2 0.107 0.107 0.498 1
Tl3 0.107 0.498 0.107 1
Tl4 0.251 0.251 0.630 1
Tl5 0.251 0.630 0.251 1
Tl6 0.370 0.749 0.749 1
Tl7 0.498 0.107 0.107 1
Tl8 0.502 0.893 0.893 1
Tl9 0.630 0.251 0.251 1
Tl10 0.749 0.370 0.749 1
Tl11 0.749 0.749 0.370 1
Tl12 0.893 0.502 0.893 1
Tl13 0.893 0.893 0.502 1
In1 0.131 0.131 0.131 1
In2 0.869 0.869 0.869 1
```


(6)
Computed, not measured: an optimized crystal structure of TlIn4 at the GGA-PBE level of DFT.

Electronic total energy ... -10.92 eV for the cell shown
E_form ... 0.480 eV per atom

```
data_TlIn4
_chemical_formula_sum 'Tl1 In4'
_space_group_name_H-M_alt 'P 1'
_space_group_IT_number 1
_space_group_name_Hall 'P 1'
_cell_length_a 5.778
_cell_length_b 5.778
_cell_length_c 5.778
_cell_angle_alpha 90.00
_cell_angle_beta 90.00
_cell_angle_gamma 90.00
loop_
_atom_site_label
_atom_site_fract_x
_atom_site_fract_y
_atom_site_fract_z
_atom_site_occupancy
Tl1 0.000 0.000 0.000 1
In1 0.000 0.000 0.500 1
In2 0.000 0.500 0.000 1
In3 0.500 0.000 0.000 1
In4 0.500 0.500 0.500 1
```


(7)
Computed, not measured: an optimized crystal structure of TlIn8 at the GGA-PBE level of DFT.

Electronic total energy ... -23.99 eV for the cell shown
E_form ... 0.032 eV per atom

```
data_TlIn8
_chemical_formula_sum 'Tl1 In8'
_space_group_name_H-M_alt 'P 1'
_space_group_IT_number 1
_space_group_name_Hall 'P 1'
_cell_length_a 8.417
_cell_length_b 8.417
_cell_length_c 8.417
_cell_angle_alpha 92.80
_cell_angle_beta 92.80
_cell_angle_gamma 154.48
loop_
_atom_site_label
_atom_site_fract_x
_atom_site_fract_y
_atom_site_fract_z
_atom_site_occupancy
Tl1 0.000 0.000 0.000 1
In1 0.000 0.333 0.333 1
In2 0.000 0.667 0.667 1
In3 0.331 0.331 0.661 1
In4 0.331 0.669 0.000 1
In5 0.333 0.000 0.333 1
In6 0.667 0.000 0.667 1
In7 0.669 0.331 0.000 1
In8 0.669 0.669 0.339 1
```


(8)
Computed, not measured: an optimized crystal structure of TlIn at the GGA-PBE level of DFT.

Electronic total energy ... -10.13 eV for the cell shown
E_form ... 0.020 eV per atom

```
data_TlIn
_chemical_formula_sum 'Tl2 In2'
_space_group_name_H-M_alt 'P 1'
_space_group_IT_number 1
_space_group_name_Hall 'P 1'
_cell_length_a 3.293
_cell_length_b 3.293
_cell_length_c 10.704
_cell_angle_alpha 90.00
_cell_angle_beta 90.00
_cell_angle_gamma 90.00
loop_
_atom_site_label
_atom_site_fract_x
_atom_site_fract_y
_atom_site_fract_z
_atom_site_occupancy
Tl1 0.250 0.250 0.133 1
Tl2 0.750 0.750 0.867 1
In1 0.250 0.250 0.617 1
In2 0.750 0.750 0.383 1
```


(9)
Computed, not measured: an optimized crystal structure of TlIn at the GGA-PBE level of DFT.

Electronic total energy ... -5.05 eV for the cell shown
E_form ... 0.029 eV per atom

```
data_TlIn
_chemical_formula_sum 'Tl1 In1'
_space_group_name_H-M_alt 'P 1'
_space_group_IT_number 1
_space_group_name_Hall 'P 1'
_cell_length_a 3.410
_cell_length_b 3.410
_cell_length_c 5.780
_cell_angle_alpha 90.00
_cell_angle_beta 90.00
_cell_angle_gamma 120.00
loop_
_atom_site_label
_atom_site_fract_x
_atom_site_fract_y
_atom_site_fract_z
_atom_site_occupancy
Tl1 0.000 0.000 0.000 1
In1 0.333 0.667 0.500 1
```


(10)
Computed, not measured: an optimized crystal structure of Tl17In12 at the GGA-PBE level of DFT.

Electronic total energy ... -72.84 eV for the cell shown
E_form ... 0.008 eV per atom

```
data_Tl17In12
_chemical_formula_sum 'Tl17 In12'
_space_group_name_H-M_alt 'P 1'
_space_group_IT_number 1
_space_group_name_Hall 'P 1'
_cell_length_a 10.389
_cell_length_b 10.389
_cell_length_c 10.389
_cell_angle_alpha 109.47
_cell_angle_beta 109.47
_cell_angle_gamma 109.47
loop_
_atom_site_label
_atom_site_fract_x
_atom_site_fract_y
_atom_site_fract_z
_atom_site_occupancy
Tl1 0.000 0.000 0.000 1
Tl2 0.000 0.000 0.640 1
Tl3 0.000 0.396 0.680 1
Tl4 0.000 0.640 0.000 1
Tl5 0.000 0.680 0.396 1
Tl6 0.284 0.604 0.604 1
Tl7 0.320 0.320 0.716 1
Tl8 0.320 0.716 0.320 1
Tl9 0.360 0.360 0.360 1
Tl10 0.396 0.000 0.680 1
Tl11 0.396 0.680 0.000 1
Tl12 0.604 0.284 0.604 1
Tl13 0.604 0.604 0.284 1
Tl14 0.640 0.000 0.000 1
Tl15 0.680 0.000 0.396 1
Tl16 0.680 0.396 0.000 1
Tl17 0.716 0.320 0.320 1
In1 0.000 0.187 0.367 1
In2 0.000 0.367 0.187 1
In3 0.180 0.813 0.813 1
In4 0.187 0.000 0.367 1
In5 0.187 0.367 0.000 1
In6 0.367 0.000 0.187 1
In7 0.367 0.187 0.000 1
In8 0.633 0.633 0.820 1
In9 0.633 0.820 0.633 1
In10 0.813 0.180 0.813 1
In11 0.813 0.813 0.180 1
In12 0.820 0.633 0.633 1
```


(11)
Computed, not measured: an optimized crystal structure of TlIn at the GGA-PBE level of DFT.

Electronic total energy ... -19.92 eV for the cell shown
E_form ... 0.062 eV per atom

```
data_TlIn
_chemical_formula_sum 'Tl4 In4'
_space_group_name_H-M_alt 'P 1'
_space_group_IT_number 1
_space_group_name_Hall 'P 1'
_cell_length_a 5.217
_cell_length_b 5.217
_cell_length_c 10.567
_cell_angle_alpha 90.00
_cell_angle_beta 90.00
_cell_angle_gamma 120.00
loop_
_atom_site_label
_atom_site_fract_x
_atom_site_fract_y
_atom_site_fract_z
_atom_site_occupancy
Tl1 0.333 0.667 0.074 1
Tl2 0.333 0.667 0.426 1
Tl3 0.667 0.333 0.574 1
Tl4 0.667 0.333 0.926 1
In1 0.000 0.000 0.250 1
In2 0.000 0.000 0.750 1
In3 0.333 0.667 0.750 1
In4 0.667 0.333 0.250 1
```


(12)
Computed, not measured: an optimized crystal structure of TlIn2 at the GGA-PBE level of DFT.

Electronic total energy ... -15.53 eV for the cell shown
E_form ... 0.026 eV per atom

```
data_TlIn2
_chemical_formula_sum 'Tl2 In4'
_space_group_name_H-M_alt 'P 1'
_space_group_IT_number 1
_space_group_name_Hall 'P 1'
_cell_length_a 8.394
_cell_length_b 8.394
_cell_length_c 5.725
_cell_angle_alpha 90.00
_cell_angle_beta 90.00
_cell_angle_gamma 154.70
loop_
_atom_site_label
_atom_site_fract_x
_atom_site_fract_y
_atom_site_fract_z
_atom_site_occupancy
Tl1 0.070 0.930 0.750 1
Tl2 0.930 0.070 0.250 1
In1 0.262 0.738 0.250 1
In2 0.399 0.601 0.750 1
In3 0.601 0.399 0.250 1
In4 0.738 0.262 0.750 1
```